Below is a relaxed structure of KCa2SnI, with properties calculated at the GGA-PBEsol level.

The final energy comes out at -13.80 eV/cell. As for the symmetry: P4/mmm, No. 123.

The structure in extended XYZ format:
```
5
Lattice="5.9082 0.0000 0.0000 0.0000 5.9082 0.0000 0.0000 0.0000 6.5749" Properties=species:S:1:pos:R:3 pbc="T T T"
Ca 0.0000 2.9541 0.0000
K 0.0000 0.0000 3.2874
Sn 0.0000 0.0000 0.0000
I 2.9541 2.9541 3.2874
Ca 2.9541 0.0000 0.0000
```